# 1
DFT (PBE) results for a geometry-optimized Sr6Ge2Pb structure.

Cell lengths 10.563, 10.858, 11.614 Å; angles 90.00, 90.00, 90.00 degrees
Space group Immm (No. 71)
Unique sites:
Sr  0.000  0.198  0.243
Sr  0.185  0.500  0.168
Sr  0.218  0.320  0.500
Ge  0.000  0.336  0.000
Ge  0.000  0.500  0.385
Pb  0.000  0.000  0.000
Pb  0.000  0.000  0.500

- E_tot: -3.04 eV/atom
- DFT formation energy: -482.2 meV per atom
- Fermi-level density of states: 10.2 states/eV/cell

***

# 2
DFT (PBE) results for a geometry-optimized Ac3Sm2Cd2 structure.

Cell lengths 5.296, 24.726, 3.755 Å; angles 90.00, 90.00, 90.00 degrees
Space group Cmmm (No. 65)
Unique sites:
Ac  0.000  0.000  0.000
Ac  0.000  0.147  0.000
Sm  0.000  0.286  0.500
Cd  0.000  0.427  0.500

- E_tot: -3.39 eV/atom
- DFT formation energy: -21.6 meV per atom
- Fermi-level density of states: 17.0 states/eV/cell

***

# 3
DFT (PBE) results for a geometry-optimized HfMoP2 structure.

Cell lengths 5.370, 5.370, 12.085 Å; angles 90.00, 90.00, 90.00 degrees
Space group I-42d (No. 122)
Unique sites:
Hf  0.000  0.000  0.000
Mo  0.000  0.000  0.500
P  0.217  0.250  0.625

- Energy relative to the lowest polymorph listed for this composition: 578 meV/atom
- E_tot: -8.05 eV/atom
- DFT formation energy: -147.4 meV per atom
- Fermi-level density of states: 12.8 states/eV/cell